1.
An optimized crystal structure of K2UCrS4, computed with PBE.

Summary:
Raw formation energy, meV per atom: -1146
Raw total energy, eV per atom: -6.098

Unit cell a=6.5585 b=3.9975 c=7.6947 alpha=90.00 beta=107.32 gamma=90.00
Space group P2/m (No. 10)
Unique sites:
K 0.0000 0.0000 0.0000 (multiplicity 1)
K 0.5000 0.5000 0.0000 (multiplicity 1)
U 0.0000 0.5000 0.5000 (multiplicity 1)
Cr 0.5000 0.0000 0.5000 (multiplicity 1)
S 0.2475 0.0000 0.6981 (multiplicity 2)
S 0.2780 0.5000 0.3104 (multiplicity 2)

***

2.
An optimized crystal structure of PdPt8Rh2, computed with PBE.

Summary:
ΔE to the lowest computed polymorph, eV/f.u.: 1.05
Energy of formation, kcal/mol of atoms: 6.64
Raw total energy, eV per atom: -5.914

Unit cell a=12.0132 b=6.5136 c=5.0806 alpha=90.00 beta=109.25 gamma=90.00
Space group C2/m (No. 12)
Unique sites:
Pd 0.0000 0.0000 0.0000 (multiplicity 2)
Pt 0.0352 0.5000 0.2715 (multiplicity 4)
Pt 0.1123 0.2056 0.6731 (multiplicity 8)
Pt 0.2290 0.0000 0.3901 (multiplicity 4)
Rh 0.1996 0.5000 0.0482 (multiplicity 4)

***

3.
An optimized crystal structure of HoErB, computed with PBE.

Summary:
Energy of formation, kcal/mol of atoms: 0.78
Raw total energy, eV per atom: -5.239

Unit cell a=11.0646 b=11.0646 c=11.9197 alpha=90.00 beta=90.00 gamma=120.00
Space group R-3 (No. 148, hexagonal axes)
Unique sites:
Ho 0.0293 0.8327 0.3813 (multiplicity 18)
Er 0.0191 0.8129 0.8878 (multiplicity 18)
B 0.0487 0.7792 0.6876 (multiplicity 18)